Model 1:
Density functional theory data (PBE-GGA) for a relaxed structure of La2GdHg.

extended XYZ file:
```
4
Lattice="5.613 0.000 0.000 2.806 4.861 0.000 2.806 1.620 4.583" Properties=species:S:1:pos:R:3 pbc="T T T"
Gd 0.000 0.000 0.000
La 2.806 1.620 1.146
La 8.419 4.861 3.437
Hg 5.613 3.240 2.291
```

* calculated density: 8.44 g/cm³
* magnetic moment: 7.9 μB/f.u.
* space group: Fm-3m (225)

Model 2:
Density functional theory data (PBE-GGA) for a relaxed structure of La2GdHg.

extended XYZ file:
```
4
Lattice="-0.787 0.691 3.683 -2.790 -2.620 -0.105 5.812 -6.286 2.421" Properties=species:S:1:pos:R:3 pbc="T T T"
Hg -1.789 -0.965 1.789
La 1.303 -1.409 0.543
La 4.509 -4.876 1.878
Gd 1.117 -4.108 2.999
```

* calculated density: 8.09 g/cm³
* magnetic moment: 7.9 μB/f.u.
* space group: P4/mmm (123)

It turns out model 2 is the most stable, with the second structure 0.110 eV/atom higher.

Model 1:
Density functional theory data (PBE-GGA) for a relaxed structure of Li2GdHg.

extended XYZ file:
```
4
Lattice="4.851 0.000 0.000 2.425 4.201 0.000 2.425 1.400 3.961" Properties=species:S:1:pos:R:3 pbc="T T T"
Li 2.425 1.400 0.990
Li 7.276 4.201 2.970
Hg 4.851 2.801 1.980
Gd 0.000 0.000 0.000
```

* calculated density: 7.65 g/cm³
* magnetic moment: 7.5 μB/f.u.
* space group: Fm-3m (225)

Model 2:
Density functional theory data (PBE-GGA) for a relaxed structure of Li2GdHg.

extended XYZ file:
```
4
Lattice="-0.043 -3.456 0.847 2.144 -0.701 -2.752 5.516 0.927 4.060" Properties=species:S:1:pos:R:3 pbc="T T T"
Li 4.446 0.747 3.273
Li 1.070 0.180 0.788
Hg 1.050 -2.079 -0.952
Gd 3.808 -1.615 1.078
```

* calculated density: 7.05 g/cm³
* magnetic moment: 7.8 μB/f.u.
* space group: P4/mmm (123)

It turns out model 1 is the most stable, with the second structure 0.038 eV/atom higher.